A plane-wave DFT calculation with PBE was carried out for a geometry-optimized HfCd2Rh structure.

Lattice parameters (Å, degrees): 4.7106 4.7106 4.7106 60.00 60.00 60.00
Positions (direct):
Cd (0.2500, 0.2500, 0.2500)
Cd (0.7500, 0.7500, 0.7500)
Rh (0.0000, 0.0000, 0.0000)
Hf (0.5000, 0.5000, 0.5000)

## Properties
DFT formation energy, eV/atom: -0.06
E_tot, eV/atom: -4.845
Space-group type: Fm-3m, No. 225

=====

A plane-wave DFT calculation with PBE was carried out for a geometry-optimized AcGaS structure.

Lattice parameters (Å, degrees): 4.1788 4.1788 6.0095 110.35 110.35 90.00
Positions (direct):
Ac (0.9524, 0.9524, 0.9049)
S (0.4069, 0.4069, 0.8137)
Ga (0.6407, 0.6407, 0.2814)

## Properties
E above lowest polymorph, meV per atom: 285
Formation energy from raw total energies, eV/f.u.: -2.79
E_tot, eV/atom: -4.684
Space-group type: I4mm, No. 107

=====

A plane-wave DFT calculation with PBE was carried out for a geometry-optimized Y4SbRu structure.

Lattice parameters (Å, degrees): 6.2082 8.0718 8.0718 112.08 104.58 104.58
Positions (direct):
Y (0.6735, 0.2118, 0.3497)
Y (0.5755, 0.2839, 0.9410)
Y (0.1735, 0.3497, 0.2118)
Y (0.4245, 0.7161, 0.0590)
Y (0.3265, 0.7882, 0.6503)
Y (0.8265, 0.6503, 0.7882)
Y (0.0755, 0.9410, 0.2839)
Y (0.9245, 0.0590, 0.7161)
Ru (0.2500, 0.9997, 0.0003)
Ru (0.7500, 0.0003, 0.9997)
Sb (0.2500, 0.3723, 0.6277)
Sb (0.7500, 0.6277, 0.3723)

## Properties
E above lowest polymorph, meV per atom: 0
Formation energy from raw total energies, eV/f.u.: -3.44
E_tot, eV/atom: -7.117
Space-group type: C2/c, No. 15

=====

A plane-wave DFT calculation with PBE was carried out for a geometry-optimized SrTlNi2Se structure.

Lattice parameters (Å, degrees): 5.2616 5.7347 5.2616 90.00 90.00 90.00
Site moments in Bohr magnetons follow the coordinates.
Positions (direct):
Tl (0.5000, 0.5000, 0.5000)  0.00
Ni (0.0000, 0.0000, 0.5000)  0.59
Ni (0.5000, 0.0000, 0.0000)  0.47
Sr (0.0000, 0.0000, 0.0000)  -0.02
Se (0.0000, 0.5000, 0.0000)  0.07

## Properties
Formation energy from raw total energies, eV/f.u.: 4.69
E_tot, eV/atom: -2.880
Space-group type: P4/mmm, No. 123

=====

A plane-wave DFT calculation with PBE was carried out for a geometry-optimized Cr4CdRe structure.

Lattice parameters (Å, degrees): 4.8361 4.8361 4.8361 60.00 60.00 60.00
Positions (direct):
Cd (0.0000, 0.0000, 0.0000)
Cr (0.3747, 0.8758, 0.3747)
Cr (0.8758, 0.3747, 0.3747)
Cr (0.3747, 0.3747, 0.3747)
Cr (0.3747, 0.3747, 0.8758)
Re (0.7500, 0.7500, 0.7500)

## Properties
DFT formation energy, eV/atom: 0.25
E_tot, eV/atom: -8.392
Space-group type: F-43m, No. 216

=====

A plane-wave DFT calculation with PBE was carried out for a geometry-optimized HOsRuW2 structure.

Lattice parameters (Å, degrees): 4.0083 4.0083 3.8971 90.00 90.00 90.00
Positions (direct):
W (0.0000, 0.5000, 0.0000)
W (0.5000, 0.0000, 0.0000)
Os (0.0000, 0.0000, 0.5000)
Ru (0.5000, 0.5000, 0.5000)
H (0.0000, 0.0000, 0.0000)

## Properties
E above lowest polymorph, meV per atom: 35
E_tot, eV/atom: -9.835
Space-group type: P4/mmm, No. 123

=====

A plane-wave DFT calculation with PBE was carried out for a geometry-optimized Sc3PtAu structure.

Lattice parameters (Å, degrees): 5.0412 5.0412 5.0412 90.00 90.00 90.00
Positions (direct):
Sc (0.5000, 0.0000, 0.0000)
Sc (0.0000, 0.0000, 0.5000)
Sc (0.0000, 0.5000, 0.0000)
Pt (0.0000, 0.0000, 0.0000)
Au (0.5000, 0.5000, 0.5000)

## Properties
E above lowest polymorph, meV per atom: 468
DFT formation energy, eV/atom: -0.33
E_tot, eV/atom: -5.991
Space-group type: Pm-3m, No. 221

=====

A plane-wave DFT calculation with PBE was carried out for a geometry-optimized TbPr4SmS8 structure.

Lattice parameters (Å, degrees): 8.3440 8.3440 8.3258 59.93 59.93 60.00
Positions (direct):
S (0.2428, 0.7625, 0.7518)
S (0.2229, 0.7620, 0.2531)
S (0.7578, 0.7578, 0.7265)
S (0.7620, 0.2229, 0.2531)
S (0.7620, 0.7620, 0.2531)
S (0.2469, 0.2469, 0.2592)
S (0.2428, 0.2428, 0.7518)
S (0.7625, 0.2428, 0.7518)
Sm (0.0015, 0.0015, 0.9956)
Pr (0.0015, 0.4958, 0.5011)
Pr (0.4958, 0.0015, 0.5011)
Pr (0.0015, 0.0015, 0.5011)
Pr (0.6244, 0.6244, 0.1267)
Tb (0.3754, 0.3754, 0.8738)

## Properties
Formation energy from raw total energies, eV/f.u.: -26.65
E_tot, eV/atom: -6.296
Space-group type: R3m, No. 160

=====

A plane-wave DFT calculation with PBE was carried out for a geometry-optimized SiNiCl2 structure.

Lattice parameters (Å, degrees): 6.2075 6.2075 6.2075 146.34 146.34 48.35
Positions (direct):
Ni (0.5000, 0.5000, 0.0000)
Cl (0.0000, 0.0000, 0.0000)
Cl (0.2500, 0.7500, 0.5000)
Si (0.7500, 0.2500, 0.5000)

## Properties
E above lowest polymorph, meV per atom: 849
Formation energy from raw total energies, eV/f.u.: 1.58
E_tot, eV/atom: -3.330
Space-group type: I-4m2, No. 119

=====

A plane-wave DFT calculation with PBE was carried out for a geometry-optimized TbDySb structure.

Lattice parameters (Å, degrees): 5.6453 5.9553 5.6471 90.01 90.00 118.29
Site moments in Bohr magnetons follow the coordinates.
Positions (direct):
Sb (0.2494, 0.4988, 0.7500)  0.00
Sb (0.7506, 0.5012, 0.2500)  0.00
Dy (0.4049, 0.8098, 0.2500)  0.32
Dy (0.5951, 0.1902, 0.7500)  0.32
Tb (0.0946, 0.1892, 0.2500)  0.31
Tb (0.9054, 0.8108, 0.7500)  0.31

## Properties
Formation energy from raw total energies, eV/f.u.: -1.90
E_tot, eV/atom: -5.086
Space-group type: Cmcm, No. 63

=====

A plane-wave DFT calculation with PBE was carried out for a geometry-optimized PuGaPb structure.

Lattice parameters (Å, degrees): 3.3963 5.0579 5.0579 120.00 90.00 90.00
Site moments in Bohr magnetons follow the coordinates.
Positions (direct):
Pb (0.1659, 0.3333, 0.6667)  -0.04
Ga (0.1678, 0.0000, 0.0000)  -0.03
Pu (0.6663, 0.6667, 0.3333)  5.47

## Properties
E above lowest polymorph, meV per atom: 64
DFT formation energy, eV/atom: -0.10
E_tot, eV/atom: -7.125
Space-group type: P3m1, No. 156

=====

A plane-wave DFT calculation with PBE was carried out for a geometry-optimized SiWCl structure.

Lattice parameters (Å, degrees): 8.3532 8.0715 2.9545 85.06 74.30 20.63
Positions (direct):
Cl (0.0367, 0.0367, 0.9633)
Si (0.3020, 0.3020, 0.6980)
W (0.6613, 0.6613, 0.3387)

## Properties
E above lowest polymorph, meV per atom: 153
Formation energy from raw total energies, eV/f.u.: 1.27
E_tot, eV/atom: -6.318
Space-group type: Fmm2, No. 42